Entry w
DFT (PBE-GGA) results for a relaxed Tc3SnH crystal.

Lattice parameters (Å, degrees): 5.063 5.063 5.063 90.00 90.00 90.00
Fractional coordinates of all 5 atoms:
Tc  0.000  0.000  0.500
Tc  0.000  0.500  0.000
Tc  0.500  0.000  0.000
Sn  0.000  0.000  0.000
H  0.500  0.500  0.500

Output
Its spin magnetization is 8.00 μB per cell. The space group is No. 221.


Entry x
DFT (PBE-GGA) results for a relaxed Tc3SnH crystal.

Lattice parameters (Å, degrees): 4.043 4.043 4.043 90.00 90.00 90.00
Fractional coordinates of all 5 atoms:
Tc  0.000  0.000  0.500
Tc  0.000  0.500  0.000
Tc  0.500  0.000  0.000
Sn  0.500  0.500  0.500
H  0.000  0.000  0.000

Output
Its spin magnetization is 0.53 μB per cell. The space group is No. 221.


Most stable one: entry x, least stable one: entry w.